(1)
This record from Alexandria via LeMat-Bulk describes crystalline MgTlHg6 at its relaxed geometry. The functional is GGA-PBE.

```
data_MgTlHg6
_chemical_formula_sum 'Mg1 Tl1 Hg6'
_cell_length_a 4.501
_cell_length_b 4.501
_cell_length_c 10.288
_cell_angle_alpha 90.00
_cell_angle_beta 90.00
_cell_angle_gamma 90.00
_symmetry_space_group_name_H-M 'P 4/m m m'
_symmetry_Int_Tables_number 123
_symmetry_space_group_name_Hall '-P 4 2'
loop_
_atom_site_label
_atom_site_type_symbol
_atom_site_fract_x
_atom_site_fract_y
_atom_site_fract_z
_atom_site_occupancy
Mg1 Mg 0.000 0.000 0.000 1
Tl1 Tl 0.000 0.000 0.500 1
Hg1 Hg 0.000 0.500 0.232 1
Hg2 Hg 0.500 0.500 0.000 1
Hg3 Hg 0.500 0.500 0.500 1
```

Summary:
Energy above the most stable polymorph in this dataset (meV/atom): 0
ΔE_f (eV per atom): -0.0340



(2)
This record from Alexandria via LeMat-Bulk describes crystalline Y2FeTeC at its relaxed geometry. The functional is GGA-PBE.

```
data_Y2FeTeC
_chemical_formula_sum 'Y2 Fe1 Te1 C1'
_cell_length_a 5.098
_cell_length_b 5.098
_cell_length_c 3.802
_cell_angle_alpha 90.00
_cell_angle_beta 90.00
_cell_angle_gamma 90.00
_symmetry_space_group_name_H-M 'P 4/m m m'
_symmetry_Int_Tables_number 123
_symmetry_space_group_name_Hall '-P 4 2'
loop_
_atom_site_label
_atom_site_type_symbol
_atom_site_fract_x
_atom_site_fract_y
_atom_site_fract_z
_atom_site_occupancy
Y1 Y 0.000 0.500 0.000 1
Fe1 Fe 0.000 0.000 0.500 1
Te1 Te 0.500 0.500 0.500 1
C1 C 0.000 0.000 0.000 1
```

Summary:
E_form (uncorrected) (meV per atom): -535



(3)
This record from Alexandria via LeMat-Bulk describes crystalline LiMgAsS4 at its relaxed geometry. The functional is GGA-PBE.

```
data_LiMgAsS4
_chemical_formula_sum 'Li4 Mg4 As4 S16'
_cell_length_a 7.130
_cell_length_b 7.525
_cell_length_c 10.282
_cell_angle_alpha 90.00
_cell_angle_beta 90.00
_cell_angle_gamma 90.00
_symmetry_space_group_name_H-M 'I m m a'
_symmetry_Int_Tables_number 74
_symmetry_space_group_name_Hall '-I 2b 2'
loop_
_atom_site_label
_atom_site_type_symbol
_atom_site_fract_x
_atom_site_fract_y
_atom_site_fract_z
_atom_site_occupancy
Li1 Li 0.250 0.250 0.250 1
Mg1 Mg 0.000 0.000 0.000 1
As1 As 0.000 0.250 0.630 1
S1 S 0.000 0.004 0.745 1
S2 S 0.247 0.250 0.005 1
```

Summary:
E_form (uncorrected) (meV per atom): -563



(4)
This record from Alexandria via LeMat-Bulk describes crystalline NaLiSnBr4 at its relaxed geometry. The functional is GGA-PBE.

```
data_NaLiSnBr4
_chemical_formula_sum 'Na4 Li4 Sn4 Br16'
_cell_length_a 8.425
_cell_length_b 8.620
_cell_length_c 12.039
_cell_angle_alpha 90.00
_cell_angle_beta 90.00
_cell_angle_gamma 90.00
_symmetry_space_group_name_H-M 'I m m a'
_symmetry_Int_Tables_number 74
_symmetry_space_group_name_Hall '-I 2b 2'
loop_
_atom_site_label
_atom_site_type_symbol
_atom_site_fract_x
_atom_site_fract_y
_atom_site_fract_z
_atom_site_occupancy
Na1 Na 0.250 0.250 0.250 1
Li1 Li 0.000 0.250 0.641 1
Sn1 Sn 0.000 0.000 0.000 1
Br1 Br 0.000 0.005 0.248 1
Br2 Br 0.247 0.250 0.501 1
```

Summary:
E_form (uncorrected) (meV per atom): -1202



| no. | uncorrected energy (eV/f.u.) |
| --- | --- |
| 1 | -6.04 |
| 2 | -36.43 |
| 3 | -28.61 |
| 4 | -22.34 |